Below is Rb3NdEr2Se6 after structural relaxation, with properties calculated at the PBE-GGA level.

```
Rb3NdEr2Se6
1.0
3.6947 -6.3999 0.0000
3.6947 6.3999 0.0000
-2.4664 0.0000 8.0028
Rb Nd Er Se
3 1 2 6
Direct
0.0000 0.0000 0.0000
0.3353 0.6647 0.0000
0.6647 0.3353 0.0000
0.5000 0.5000 0.5000
0.1669 0.8331 0.5000
0.8331 0.1669 0.5000
0.0912 0.4344 0.3036
0.2221 0.2221 0.6958
0.4344 0.0912 0.3036
0.5656 0.9088 0.6964
0.7779 0.7779 0.3042
0.9088 0.5656 0.6964
```

---

Below is Rb3Nd2ErSe6 after structural relaxation, with properties calculated at the PBE-GGA level.

```
Rb3Nd2ErSe6
1.0
3.7438 -6.4847 0.0000
3.7438 6.4847 0.0000
-2.4989 0.0000 8.0147
Rb Nd Er Se
3 2 1 6
Direct
0.0000 0.0000 0.0000
0.3315 0.6685 0.0000
0.6685 0.3315 0.0000
0.1665 0.8335 0.5000
0.8335 0.1665 0.5000
0.5000 0.5000 0.5000
0.1103 0.4339 0.3016
0.2429 0.2429 0.6989
0.4339 0.1103 0.3016
0.5661 0.8897 0.6984
0.7571 0.7571 0.3011
0.8897 0.5661 0.6984
```

---

Electronic total energy / eV per atom: -4.871; -4.889